# KHf2Ti

A geometry-optimized KHf2Ti structure (PBE, Alexandria).

Offset from the most stable computed form: 0 meV/atom
DOS at the Fermi energy: 1.321 states/eV per atom
Energy relative to the elements: 109 kJ/mol of atoms
Calculated total energy: -6.10 eV/atom
V: 24.1 Å³ per atom

Lattice parameters (Å, degrees): 7.278 7.278 7.278 90.00 90.00 90.00
Atoms (fractional coordinates):
K: 0.000 0.000 0.000
K: 0.000 0.500 0.500
K: 0.500 0.000 0.500
K: 0.500 0.500 0.000
Hf: 0.250 0.250 0.250
Hf: 0.250 0.250 0.750
Hf: 0.250 0.750 0.250
Hf: 0.250 0.750 0.750
Hf: 0.750 0.250 0.250
Hf: 0.750 0.250 0.750
Hf: 0.750 0.750 0.250
Hf: 0.750 0.750 0.750
Ti: 0.000 0.000 0.500
Ti: 0.000 0.500 0.000
Ti: 0.500 0.000 0.000
Ti: 0.500 0.500 0.500